Entry 1:
Entry from Alexandria: a geometry-optimized La2CeEr structure (GGA-PBE).

The structure in POSCAR format:
```
La2CeEr
1.0
3.476 0.000 0.000
1.738 3.010 0.000
1.738 1.003 12.540
La Ce Er
2 1 1
direct
0.914 0.914 0.258
0.086 0.086 0.742
0.000 0.000 0.000
0.500 0.500 0.500
```

Summary:
Spin magnetization in μB/atom: 0.1686
E_form in meV/atom: 182.0
Offset from the most stable computed form in eV/f.u.: 0.47

=====

Entry 2:
Entry from Alexandria: a geometry-optimized La3CeEr12 structure (GGA-PBE).

The structure in POSCAR format:
```
La3CeEr12
1.0
-4.007 -2.859 1.049
2.765 -2.688 3.235
-5.106 12.595 14.829
Er Ce La
12 1 3
direct
0.000 0.500 0.879
0.500 0.500 0.248
0.000 0.500 0.626
0.500 0.000 0.879
0.500 0.500 0.500
0.500 0.000 0.121
0.000 0.500 0.121
0.500 0.000 0.626
0.500 0.500 0.000
0.500 0.000 0.374
0.500 0.500 0.752
0.000 0.500 0.374
0.000 0.000 0.000
0.000 0.000 0.500
0.000 0.000 0.248
0.000 0.000 0.752
```

Summary:
Spin magnetization in μB/atom: 0.0650
E_form in meV/atom: 45.1

=====

Entry 3:
Entry from Alexandria: a geometry-optimized LaCeEr6 structure (GGA-PBE).

The structure in POSCAR format:
```
LaCeEr6
1.0
6.195 -0.216 2.223
0.767 6.226 -1.458
0.690 -1.677 7.191
Er La Ce
6 1 1
direct
0.499 0.252 0.999
0.439 0.240 0.480
0.561 0.760 0.520
0.913 0.270 0.539
0.501 0.748 0.001
0.087 0.730 0.461
0.000 0.000 0.000
0.000 0.500 0.000
```

Summary:
Spin magnetization in μB/atom: 0.1748
E_form in meV/atom: 213.0

=====

Entry 4:
Entry from Alexandria: a geometry-optimized La8CeEr4 structure (GGA-PBE).

The structure in POSCAR format:
```
La8CeEr4
1.0
10.022 -0.001 -5.407
-6.469 9.372 -0.001
-2.511 -1.733 7.337
La Er Ce
8 4 1
direct
0.987 0.235 0.222
0.480 0.240 0.720
0.013 0.248 0.778
0.013 0.765 0.778
0.520 0.760 0.280
0.470 0.235 0.222
0.530 0.765 0.778
0.987 0.752 0.222
0.000 0.500 0.000
0.500 0.000 0.000
0.500 0.500 0.000
0.000 0.000 0.000
0.000 0.500 0.500
```

Summary:
Spin magnetization in μB/atom: 0.1272
E_form in meV/atom: 439.3

=====

Entry 5:
Entry from Alexandria: a geometry-optimized La6CeEr2 structure (GGA-PBE).

The structure in POSCAR format:
```
La6CeEr2
1.0
-2.180 2.628 -1.271
-0.801 -3.497 -0.635
-14.629 -0.876 23.275
Er La Ce
2 6 1
direct
0.333 0.667 0.329
0.333 0.667 0.671
0.000 0.000 0.777
0.333 0.667 0.895
0.000 0.000 0.223
0.000 0.000 0.433
0.333 0.667 0.105
0.000 0.000 0.567
0.000 0.000 0.000
```

Summary:
Spin magnetization in μB/atom: 0.0792
E_form in meV/atom: 73.7

=====

Entry 6:
Entry from Alexandria: a geometry-optimized La2CeEr structure (GGA-PBE).

The structure in POSCAR format:
```
La2CeEr
1.0
3.577 0.000 0.000
0.000 3.577 0.000
0.000 0.000 10.191
Er La Ce
1 2 1
direct
0.500 0.500 0.000
0.000 0.000 0.261
0.000 0.000 0.739
0.500 0.500 0.500
```

Summary:
Spin magnetization in μB/atom: 0.0015
E_form in meV/atom: 64.6
Offset from the most stable computed form in eV/f.u.: 0.00

=====

> Which formula does entry 6 have?

La2CeEr